Compound: NaLiNi2
Source: Alexandria
Functional: GGA-PBEsol
Structure: optimized geometry

Lattice parameters (Å, degrees): 4.2219 4.2219 4.2219 60.00 60.00 60.00
Last column: nearest neighbours and their distance in Å.
Fractional positions:
Ni1 0.7500 0.7500 0.7500  4 Li 2.59, 4 Na 2.59
Ni2 0.2500 0.2500 0.2500  4 Na 2.59, 4 Li 2.59
Li1 0.0000 0.0000 0.0000  8 Ni 2.59
Na1 0.5000 0.5000 0.5000  8 Ni 2.59

## Properties
- Final energy: -3.276 eV/atom
- Symmetry: No. 225
- E_form: 0.645 eV per atom